1.
DFT (PBEsol) results for crystalline LiAgAu2 at its relaxed geometry.

Unit cell a=3.950 b=3.950 c=4.935 alpha=113.59 beta=113.59 gamma=90.00
Atoms (fractional coordinates):
Li 0.000 0.000 0.000
Au 0.750 0.250 0.500
Au 0.250 0.750 0.500
Ag 0.500 0.500 0.000

## Properties
D(E_F) = 0.23 states/eV/atom
Raw total energy = -3.595 eV per atom
Energy relative to the elements = -0.31 eV/atom
Mass density = 13.30 Mg/m³
Total magnetization = 0.00 μB/cell



2.
DFT (PBEsol) results for crystalline TcWAu2 at its relaxed geometry.

Unit cell a=4.483 b=4.483 c=4.483 alpha=60.00 beta=60.00 gamma=60.00
Atoms (fractional coordinates):
Au 0.000 0.000 0.000
Au 0.750 0.750 0.750
W 0.250 0.250 0.250
Tc 0.500 0.500 0.500

## Properties
D(E_F) = 0.86 states/eV/atom
Raw total energy = -7.692 eV per atom
Energy relative to the elements = 0.54 eV/atom
Mass density = 17.62 Mg/m³
Total magnetization = 0.00 μB/cell



What is the formula in the first record?
LiAgAu2